Record 1
Below is crystalline Nd2PuCl at its relaxed geometry, with properties calculated at the PBE level.

Computed properties:
ρ	8.05	g/cm3
volume	29.3	Å³ per atom
symmetry	R-3m
E	-0.2579	hartree per atom
formation energy from raw total energies	-589	meV/atom

Cell lengths 3.656, 3.656, 10.341 Å; angles 79.82, 79.82, 60.00 degrees
Fractional coordinates of all 4 atoms:
1 Cl 0.000 0.000 0.000
2 Nd 0.741 0.741 0.776
3 Nd 0.259 0.259 0.224
4 Pu 0.500 0.500 0.500

=====

Record 2
Below is crystalline ScAl2Pd8 at its relaxed geometry, with properties calculated at the PBE level.

Computed properties:
formation enthalpy at 0 K	-7.85	eV per formula unit
energy relative to the lowest polymorph listed for this composition	0.000	eV/f.u.
ρ	9.10	g/cm3
volume	15.8	Å³ per atom
symmetry	Immm
E	-0.2112	hartree per atom

Cell lengths 4.070, 6.982, 7.317 Å; angles 118.50, 106.15, 90.00 degrees
Fractional coordinates of all 11 atoms:
1 Sc 0.500 0.000 0.000
2 Al 0.190 0.690 0.380
3 Al 0.810 0.310 0.620
4 Pd 0.664 0.882 0.328
5 Pd 0.336 0.554 0.672
6 Pd 0.148 0.148 0.295
7 Pd 0.000 0.305 0.000
8 Pd 0.852 0.852 0.705
9 Pd 0.664 0.446 0.328
10 Pd 0.336 0.118 0.672
11 Pd 0.000 0.695 0.000

=====

Record 3
Below is crystalline AcMg6Ge2 at its relaxed geometry, with properties calculated at the PBE level.

Computed properties:
formation enthalpy at 0 K	-2.63	eV per formula unit
ρ	4.10	g/cm3
volume	23.3	Å³ per atom
symmetry	P4/mmm
E	-0.1043	hartree per atom

Cell lengths 4.467, 4.467, 10.518 Å; angles 90.00, 90.00, 90.00 degrees
Fractional coordinates of all 9 atoms:
1 Ac 0.000 0.000 0.000
2 Mg 0.000 0.500 0.284
3 Mg 0.500 0.000 0.284
4 Mg 0.000 0.500 0.716
5 Mg 0.500 0.000 0.716
6 Mg 0.500 0.500 0.500
7 Mg 0.000 0.000 0.500
8 Ge 0.500 0.500 0.126
9 Ge 0.500 0.500 0.874

=====

Record 4
Below is crystalline Ca2BePN at its relaxed geometry, with properties calculated at the PBE level.

Computed properties:
energy relative to the lowest polymorph listed for this composition	0.000	eV/f.u.
ρ	2.59	g/cm3
volume	17.2	Å³ per atom
symmetry	P2_1/m
E	-0.1971	hartree per atom
formation energy from raw total energies	-1070	meV/atom

Cell lengths 3.678, 6.218, 7.934 Å; angles 108.46, 90.00, 90.00 degrees
Fractional coordinates of all 10 atoms:
1 Ca 0.750 0.808 0.618
2 Ca 0.750 0.792 0.033
3 Ca 0.250 0.192 0.382
4 Ca 0.250 0.208 0.967
5 Be 0.250 0.544 0.754
6 Be 0.750 0.456 0.246
7 P 0.250 0.663 0.296
8 P 0.750 0.337 0.704
9 N 0.250 0.811 0.824
10 N 0.750 0.189 0.176

=====

Record 5
Below is crystalline TlSn3Ge2Te6 at its relaxed geometry, with properties calculated at the PBE level.

Computed properties:
ρ	6.49	g/cm3
volume	31.4	Å³ per atom
symmetry	C2/m
E	-0.1371	hartree per atom
formation energy from raw total energies	-191	meV/atom

Cell lengths 4.396, 9.023, 9.903 Å; angles 100.57, 102.82, 90.00 degrees
Fractional coordinates of all 12 atoms:
1 Tl 0.500 0.000 0.000
2 Sn 0.500 0.500 0.000
3 Sn 0.835 0.184 0.670
4 Sn 0.165 0.816 0.330
5 Ge 0.834 0.680 0.668
6 Ge 0.166 0.320 0.332
7 Te 0.326 0.894 0.651
8 Te 0.668 0.579 0.335
9 Te 0.674 0.106 0.349
10 Te 0.011 0.265 0.023
11 Te 0.989 0.735 0.977
12 Te 0.332 0.421 0.665

=====

Record 6
Below is crystalline Er5TmMg4 at its relaxed geometry, with properties calculated at the PBE level.

Computed properties:
formation enthalpy at 0 K	-0.39	eV per formula unit
ρ	6.63	g/cm3
volume	27.6	Å³ per atom
symmetry	P4/mmm
E	-0.1252	hartree per atom

Cell lengths 3.605, 3.605, 21.246 Å; angles 90.00, 90.00, 90.00 degrees
Fractional coordinates of all 10 atoms:
1 Er 0.500 0.500 0.112
2 Er 0.500 0.500 0.310
3 Er 0.500 0.500 0.500
4 Er 0.500 0.500 0.690
5 Er 0.500 0.500 0.888
6 Tm 0.000 0.000 0.000
7 Mg 0.000 0.000 0.212
8 Mg 0.000 0.000 0.405
9 Mg 0.000 0.000 0.595
10 Mg 0.000 0.000 0.788